# 1
Below is a geometry-optimized Cs2Pt2Se structure, with properties calculated at the PBE level.

Its total energy is -3.7179 eV per atom.

The space group is Immm (No. 71) and the conventional cell measures 4.5010, 5.4446 and 11.8475 Å, with angles of 90.00, 90.00 and 90.00 degrees. The distinct sites, in fractional coordinates, are Cs at (0.0000, 0.0000, 0.1983), Pt at (0.0000, 0.2544, 0.5000) and Se at (0.0000, 0.5000, 0.0000).

=====

# 2
Below is a geometry-optimized TbHoNi2Ge structure, with properties calculated at the PBE level.

Its total energy is -5.5946 eV per atom.

The space group is Amm2 (No. 38) and the conventional cell measures 3.5996, 3.9543 and 13.2108 Å, with angles of 90.00, 90.00 and 90.00 degrees. The distinct sites, in fractional coordinates, are Tb at (0.0000, 0.0000, 0.0000), Ho at (0.0000, 0.0000, 0.7415), Ni at (0.5000, 0.0000, 0.1769), Ni at (0.5000, 0.0000, 0.5665) and Ge at (0.5000, 0.0000, 0.3702).

=====

# 3
Below is a geometry-optimized MgNi structure, with properties calculated at the PBE level.

Its total energy is -3.6311 eV per atom.

The space group is Pmc2_1 (No. 26) and the conventional cell measures 4.3022, 8.8251 and 4.5891 Å, with angles of 90.00, 90.00 and 90.00 degrees. The distinct sites, in fractional coordinates, are Mg at (0.0000, 0.0828, 0.0000), Mg at (0.0000, 0.3949, 0.9172), Mg at (0.5000, 0.3697, 0.3542), Ni at (0.0000, 0.2226, 0.4844), Ni at (0.5000, 0.0722, 0.3497) and Ni at (0.5000, 0.2161, 0.8258).

=====

# 4
Below is a geometry-optimized Er2GaC2 structure, with properties calculated at the PBE level.

Its total energy is -5.8724 eV per atom.

The space group is P6_3/mmc (No. 194) and the conventional cell measures 3.5360, 3.5360 and 16.7302 Å, with angles of 90.00, 90.00 and 120.00 degrees. The distinct sites, in fractional coordinates, are Er at (0.3333, 0.6667, 0.1363), Ga at (0.0000, 0.0000, 0.0000) and C at (0.3333, 0.6667, 0.5749).